[1]
RbHfAs2 | GGA-PBEsol | optimized geometry

Results
E_form = 0.06 eV/atom
Size of the total moment = 0.00 μB per cell
Crystal system = cubic

a = 7.071 Å, b = 7.071 Å, c = 7.071 Å
α = 90.00°, β = 90.00°, γ = 90.00°
Space group Fm-3m (No. 225)
Unique sites:
Rb: 0.000 0.000 0.000 [4 per cell]
Hf: 0.000 0.000 0.500 [4 per cell]
As: 0.250 0.250 0.250 [8 per cell]



[2]
RbHfAs2Se | GGA-PBEsol | optimized geometry

Results
Size of the total moment = 0.00 μB per cell
Crystal system = tetragonal
Formation energy (no corrections) = 1636 meV per atom

a = 5.142 Å, b = 5.142 Å, c = 5.349 Å
α = 90.00°, β = 90.00°, γ = 90.00°
Space group P4/mmm (No. 123)
Unique sites:
Rb: 0.000 0.000 0.000 [1 per cell]
Hf: 0.500 0.500 0.500 [1 per cell]
As: 0.000 0.500 0.000 [2 per cell]
Se: 0.000 0.000 0.500 [1 per cell]